Entry 1:
This record from Alexandria describes a relaxed structure of U2MnTl3Te6. The functional is PBE-GGA.

Structure (POSCAR):
```
U2MnTl3Te6
1.0
7.547 0.000 -0.002
-3.772 6.537 -0.002
-1.262 -2.185 8.243
U Mn Tl Te
2 1 3 6
Cartesian
0.014 4.351 -0.002 U
3.761 2.187 -0.002 U
0.000 0.000 0.000 Mn
-2.447 4.315 4.120 Tl
4.961 0.037 4.120 Tl
1.257 2.176 4.120 Tl
3.720 2.271 6.537 Te
2.568 4.446 1.740 Te
-1.207 2.082 1.703 Te
0.107 4.357 6.537 Te
-0.054 -0.093 6.499 Te
2.406 -0.005 1.703 Te
```

Summary:
Crystal system = monoclinic
SG = C2/m



Entry 2:
This record from Alexandria describes a relaxed structure of Mn2Tl3VTe6. The functional is PBE-GGA.

Structure (POSCAR):
```
Mn2Tl3VTe6
1.0
-5.325 4.160 -2.390
-0.158 -7.068 -1.184
-1.997 -0.070 7.905
Mn Tl V Te
2 3 1 6
Cartesian
-1.880 -3.327 -1.586 Mn
-3.604 0.419 -1.989 Mn
-2.010 -5.249 2.569 Tl
-5.471 2.272 1.761 Tl
-3.740 -1.489 2.165 Tl
0.000 0.000 0.000 V
-6.706 -0.431 3.449 Te
-4.381 -2.137 -1.124 Te
-0.775 -2.546 0.882 Te
-4.987 -4.166 3.850 Te
-3.100 -0.841 5.454 Te
-2.494 1.188 0.480 Te
```

Summary:
Crystal system = monoclinic
SG = C2/m



Entry 3:
This record from Alexandria describes a relaxed structure of Mn2Tl2VTe6. The functional is PBE-GGA.

Structure (POSCAR):
```
Mn2Tl2VTe6
1.0
6.926 -0.010 0.053
-3.432 6.016 0.053
-1.206 -2.073 8.001
Mn Tl V Te
2 2 1 6
Cartesian
-0.618 2.992 4.053 Mn
2.906 0.941 4.053 Mn
5.234 0.974 0.053 Tl
-1.740 5.031 0.053 Tl
-0.603 -1.036 4.001 V
1.701 2.924 5.559 Te
-1.753 0.951 5.544 Te
0.587 1.009 2.547 Te
1.693 -1.054 5.544 Te
4.041 2.982 2.563 Te
0.595 4.987 2.563 Te
```

Summary:
Crystal system = monoclinic
SG = C2/m



Entry 4:
This record from Alexandria describes a relaxed structure of MnTlVTe3. The functional is PBE-GGA.

Structure (POSCAR):
```
MnTlVTe3
1.0
3.748 0.000 0.000
0.000 8.995 -0.797
0.000 -4.217 9.728
Mn Tl V Te
2 2 2 6
Cartesian
0.937 5.626 1.183 Mn
2.811 -0.848 7.748 Mn
2.811 3.444 6.611 Tl
0.937 1.334 2.320 Tl
0.937 -1.789 5.797 V
2.811 6.567 3.134 V
0.937 4.798 3.788 Te
2.811 7.506 0.691 Te
2.811 3.701 0.752 Te
2.811 -0.020 5.143 Te
0.937 1.078 8.179 Te
0.937 -2.727 8.240 Te
```

Summary:
Crystal system = monoclinic
SG = P2_1/m



Entry 5:
This record from Alexandria describes a relaxed structure of Mn2TlTeW. The functional is PBE-GGA.

Structure (POSCAR):
```
Mn2TlTeW
1.0
4.838 0.000 0.000
0.000 5.961 0.000
0.000 0.000 4.838
Mn Tl Te W
2 1 1 1
Cartesian
0.000 0.000 2.419 Mn
2.419 0.000 0.000 Mn
0.000 2.980 0.000 Tl
0.000 0.000 0.000 Te
2.419 2.980 2.419 W
```

Summary:
Crystal system = tetragonal
SG = P4/mmm



Entry 6:
This record from Alexandria describes a relaxed structure of YMnTlTe3. The functional is PBE-GGA.

Structure (POSCAR):
```
YMnTlTe3
1.0
-3.327 -2.608 -1.370
5.789 -7.609 0.426
-4.476 0.881 9.190
Y Mn Tl Te
2 2 2 6
Cartesian
2.413 -5.626 1.246 Y
-4.427 -3.710 7.000 Y
-3.052 -0.758 5.249 Mn
1.038 -8.578 2.997 Mn
-1.363 -7.322 6.436 Tl
-0.650 -2.014 1.810 Tl
1.610 -6.204 4.297 Te
2.105 -8.649 0.541 Te
-0.609 -5.282 0.722 Te
-3.623 -3.132 3.949 Te
-1.405 -4.054 7.523 Te
-4.119 -0.687 7.705 Te
```

Summary:
Crystal system = monoclinic
SG = P2_1/m



Entry 7:
This record from Alexandria describes a relaxed structure of Y3MnTl4Te8. The functional is PBE-GGA.

Structure (POSCAR):
```
Y3MnTl4Te8
1.0
-4.039 7.599 1.845
-8.312 -4.567 0.615
6.593 -2.830 5.098
Y Mn Tl Te
3 1 4 8
Cartesian
-6.175 1.516 1.230 Y
-2.879 0.101 3.779 Y
-0.860 -3.699 2.856 Y
-4.156 -2.283 0.307 Mn
-2.019 3.800 0.922 Tl
1.277 2.384 3.471 Tl
0.000 0.000 0.000 Tl
3.296 -1.415 2.549 Tl
-0.340 -4.272 5.848 Te
-3.795 -2.788 3.177 Te
0.041 -0.782 3.312 Te
-2.457 -0.289 6.815 Te
-3.301 0.491 0.742 Te
-5.798 0.984 4.246 Te
-1.962 2.990 4.380 Te
-5.417 4.474 1.709 Te
```

Summary:
Crystal system = trigonal
SG = R-3m



Entry 8:
This record from Alexandria describes a relaxed structure of Mn2TlZnTe. The functional is PBE-GGA.

Structure (POSCAR):
```
Mn2TlZnTe
1.0
-0.001 -4.343 2.475
-0.243 -2.846 -4.995
4.994 -0.105 -0.183
Tl Te Zn Mn
1 1 1 2
Cartesian
0.000 0.000 0.000 Tl
-0.122 -1.423 -2.497 Te
2.375 -3.647 -1.352 Zn
2.497 -0.053 -0.092 Mn
0.000 -2.171 1.237 Mn
```

Summary:
Crystal system = tetragonal
SG = P4/mmm



Entry 9:
This record from Alexandria describes a relaxed structure of Zr2MnTlTe. The functional is PBE-GGA.

Structure (POSCAR):
```
Zr2MnTlTe
1.0
5.342 0.000 0.000
0.000 4.805 0.000
0.000 0.000 5.342
Mn Tl Te Zr
1 1 1 2
Cartesian
0.000 2.403 0.000 Mn
2.671 2.403 2.671 Tl
0.000 0.000 0.000 Te
0.000 0.000 2.671 Zr
2.671 0.000 0.000 Zr
```

Summary:
Crystal system = tetragonal
SG = P4/mmm



Entry 10:
This record from Alexandria describes a relaxed structure of Zr2MnTl3Te6. The functional is PBE-GGA.

Structure (POSCAR):
```
Zr2MnTl3Te6
1.0
-4.875 -3.009 4.415
6.015 -3.621 -1.739
3.483 5.492 5.616
Zr Mn Tl Te
2 1 3 6
Cartesian
2.371 -3.417 0.320 Zr
-1.232 -3.214 2.356 Zr
0.000 0.000 0.000 Mn
5.890 -0.770 2.124 Tl
-1.268 -0.368 6.169 Tl
2.311 -0.569 4.146 Tl
1.875 -0.618 7.551 Te
1.554 -3.791 3.127 Te
2.747 -0.520 0.741 Te
5.440 -0.819 5.537 Te
3.068 2.653 5.165 Te
-0.818 -0.319 2.756 Te
```

Summary:
Crystal system = monoclinic
SG = C2/m



Entry 11:
This record from Alexandria describes a relaxed structure of Zr2MnTlTe. The functional is PBE-GGA.

Structure (POSCAR):
```
Zr2MnTlTe
1.0
-1.512 3.623 -2.884
2.751 -1.861 -3.779
-3.788 -2.713 -1.422
Mn Tl Te Zr
1 1 1 2
Cartesian
0.000 0.000 0.000 Mn
1.376 -0.930 -1.889 Tl
-1.274 -0.476 -4.043 Te
-1.894 -1.356 -0.711 Zr
-0.756 1.811 -1.442 Zr
```

Summary:
Crystal system = tetragonal
SG = P4/mmm



Entry 12:
This record from Alexandria describes a relaxed structure of Tm3MnTe. The functional is PBE-GGA.

Structure (POSCAR):
```
Tm3MnTe
1.0
-2.262 -1.279 -2.901
5.143 3.427 -5.520
2.390 -7.779 1.566
Tm Mn Te
6 2 2
Cartesian
3.218 -0.791 -3.467 Tm
2.053 -4.840 -3.388 Tm
1.510 -5.412 -0.099 Tm
-0.340 -0.674 -3.359 Tm
3.761 -0.220 -6.756 Tm
5.611 -4.957 -3.496 Tm
1.296 0.591 -5.192 Mn
3.975 -6.222 -1.663 Mn
3.750 -3.175 -5.445 Te
1.521 -2.456 -1.410 Te
```

Summary:
Crystal system = monoclinic
SG = P2_1/m



Entry 13:
This record from Alexandria describes a relaxed structure of Tm2MnTe4. The functional is PBE-GGA.

Structure (POSCAR):
```
Tm2MnTe4
1.0
7.584 -0.050 4.337
-2.432 7.184 4.337
0.038 0.053 8.736
Tm Mn Te
4 2 8
Cartesian
2.595 3.593 8.705 Tm
3.811 0.001 6.537 Tm
0.000 0.000 0.000 Tm
3.792 -0.025 2.168 Tm
5.145 4.486 13.057 Mn
0.046 2.701 4.352 Mn
0.111 5.491 13.072 Te
5.080 1.696 4.338 Te
0.150 5.422 8.704 Te
1.337 1.790 6.587 Te
1.354 1.814 10.854 Te
3.853 5.397 10.823 Te
5.040 1.765 8.706 Te
3.836 5.373 6.556 Te
```

Summary:
Crystal system = cubic
SG = Fd-3m



Entry 14:
This record from Alexandria describes a relaxed structure of Tm5Mn2Te2. The functional is PBE-GGA.

Structure (POSCAR):
```
Tm5Mn2Te2
1.0
7.037 0.000 2.554
0.000 7.474 0.000
0.801 0.000 8.763
Tm Mn Te
10 4 4
Cartesian
0.000 0.000 0.000 Tm
3.519 3.737 1.277 Tm
3.740 1.315 7.775 Tm
6.218 6.159 8.674 Tm
2.699 5.052 7.397 Tm
7.259 2.422 9.052 Tm
4.098 6.159 3.543 Tm
1.621 1.315 2.643 Tm
5.139 2.422 3.921 Tm
0.580 5.052 2.265 Tm
0.742 2.963 0.269 Mn
6.295 4.512 2.285 Mn
2.777 6.700 1.008 Mn
4.260 0.774 1.546 Mn
1.965 0.000 5.556 Te
5.484 3.737 6.833 Te
5.873 0.000 5.761 Te
2.354 3.737 4.484 Te
```

Summary:
Crystal system = orthorhombic
SG = Cmce



Entry 15:
This record from Alexandria describes a relaxed structure of UMnTe. The functional is PBE-GGA.

Structure (POSCAR):
```
UMnTe
1.0
-0.971 4.253 -1.897
-2.866 1.423 4.896
4.016 1.740 1.844
U Mn Te
2 2 2
Cartesian
-1.024 1.226 1.098 U
-2.994 4.444 2.351 U
-1.599 3.579 0.131 Mn
-2.528 2.098 3.549 Mn
0.837 4.329 0.236 Te
-0.181 3.199 3.515 Te
```

Summary:
Crystal system = monoclinic
SG = Pm



Entry 16:
This record from Alexandria describes a relaxed structure of UMnTe3. The functional is PBE-GGA.

Structure (POSCAR):
```
UMnTe3
1.0
7.305 0.000 0.000
3.653 6.327 0.000
3.653 2.109 6.809
U Mn Te
2 2 6
Cartesian
7.305 4.218 6.711 U
7.305 4.218 0.099 U
10.958 6.326 3.338 Mn
3.653 2.109 3.472 Mn
9.841 4.237 4.996 Te
6.020 6.404 4.996 Te
6.054 2.011 4.996 Te
4.769 4.198 1.814 Te
8.590 2.031 1.814 Te
8.556 6.424 1.814 Te
```

Summary:
Crystal system = trigonal
SG = R-3



Entry 17:
This record from Alexandria describes a relaxed structure of UMnTe4. The functional is PBE-GGA.

Structure (POSCAR):
```
UMnTe4
1.0
7.268 -0.276 0.000
-1.261 6.719 0.000
-3.004 -3.221 7.265
U Mn Te
2 2 8
Cartesian
1.186 3.290 1.722 U
1.817 -0.069 5.543 U
-2.448 3.428 4.774 Mn
5.451 -0.207 2.491 Mn
6.146 1.465 0.507 Te
3.495 4.840 0.507 Te
-0.332 1.747 4.146 Te
3.336 1.474 3.119 Te
-0.963 5.106 3.119 Te
-0.492 -1.619 6.758 Te
3.966 -1.885 4.146 Te
-3.143 1.757 6.758 Te
```

Summary:
Crystal system = monoclinic
SG = C2/c



Entry 18:
This record from Alexandria describes a relaxed structure of U3Mn5Te12. The functional is PBE-GGA.

Structure (POSCAR):
```
U3Mn5Te12
1.0
-0.206 -9.200 -11.506
11.409 -3.296 8.721
-12.547 -1.362 7.602
Te U Mn
48 12 20
Cartesian
0.792 -7.022 -6.823 Te
0.884 -5.335 4.096 Te
0.482 -10.475 -5.607 Te
0.754 -5.826 -3.392 Te
-0.449 -8.680 4.575 Te
4.302 -11.016 -4.626 Te
3.747 -6.151 6.248 Te
8.820 -3.968 7.908 Te
2.388 -9.481 6.768 Te
4.377 -8.735 -1.747 Te
0.394 -9.274 -2.178 Te
9.773 -10.661 -1.237 Te
1.351 -4.230 8.876 Te
3.537 -4.938 -0.039 Te
5.698 -4.335 9.808 Te
-6.017 -4.998 0.805 Te
-0.700 -1.676 2.124 Te
6.518 -6.586 1.226 Te
6.630 -10.993 0.635 Te
3.591 -2.621 2.812 Te
1.016 -7.695 10.050 Te
1.840 -8.013 1.834 Te
2.475 -11.863 0.779 Te
-7.887 -9.557 0.715 Te
-3.183 -5.846 2.983 Te
-3.819 -1.996 4.038 Te
6.543 -4.302 4.102 Te
-7.974 -2.866 4.183 Te
-2.360 -6.164 -5.233 Te
-4.935 -11.237 2.005 Te
-7.862 -7.273 3.591 Te
4.673 -8.861 4.012 Te
-0.644 -12.182 2.693 Te
-7.042 -9.523 -4.991 Te
-2.695 -9.629 -4.059 Te
-11.117 -3.198 6.054 Te
-4.881 -8.921 4.856 Te
-3.731 -4.378 -1.951 Te
-5.720 -5.124 6.564 Te
-1.738 -4.584 6.995 Te
-10.164 -9.891 -3.091 Te
-5.090 -7.707 -1.431 Te
-2.098 -8.033 8.209 Te
-5.645 -2.843 9.443 Te
-0.895 -5.178 0.242 Te
-1.826 -3.384 10.424 Te
-2.228 -8.524 0.721 Te
-2.136 -6.837 11.640 Te
2.556 -8.307 -4.409 U
6.808 -10.693 -2.577 U
0.638 -6.774 6.977 U
-3.330 -3.223 1.064 U
-1.891 -8.803 -7.077 U
3.917 -5.851 3.036 U
-5.260 -8.008 1.781 U
0.547 -5.056 11.894 U
1.987 -10.636 3.753 U
-1.981 -7.085 -2.160 U
-8.152 -3.166 7.394 U
-3.899 -5.552 9.226 U
1.116 -2.727 3.733 Mn
5.704 -1.648 4.360 Mn
0.000 0.000 0.000 Mn
1.207 -4.444 -1.184 Mn
-6.376 -5.281 -1.952 Mn
5.602 -6.248 -1.393 Mn
3.826 -4.133 7.953 Mn
-9.707 -8.504 -0.887 Mn
2.271 -9.471 -0.328 Mn
-8.061 -4.884 2.477 Mn
6.717 -8.975 2.340 Mn
-0.672 -6.929 2.409 Mn
-0.103 -4.600 -5.753 Mn
-6.273 -0.681 3.801 Mn
-3.615 -4.388 5.145 Mn
8.363 -5.355 5.704 Mn
-0.569 -2.329 8.161 Mn
-5.170 -9.726 -3.136 Mn
-2.550 -9.414 6.001 Mn
-2.460 -11.132 1.084 Mn
```

Summary:
Crystal system = cubic
SG = Ia-3d



Entry 19:
This record from Alexandria describes a relaxed structure of Mn3VTe. The functional is PBE-GGA.

Structure (POSCAR):
```
Mn3VTe
1.0
-2.942 -2.137 2.683
2.737 0.668 3.533
-2.068 3.925 0.859
Te Mn V
1 3 1
Cartesian
-1.136 1.228 3.538 Te
1.369 0.334 1.767 Mn
-1.034 1.963 0.430 Mn
-1.471 -1.069 1.342 Mn
0.000 0.000 0.000 V
```

Summary:
Crystal system = cubic
SG = Pm-3m



no.,formation energy from raw total energies (eV per atom)
1,-0.44
2,-0.25
3,-0.25
4,-0.19
5,1.82
6,-0.73
7,-0.83
8,1.16
9,0.59
10,-0.52
11,0.19
12,-0.50
13,-1.00
14,-0.52
15,-0.11
16,-0.38
17,-0.35
18,-0.26
19,0.82